! Na2CuTe PBE-GGA optimized geometry; values from VASP
! * ΔE_f (raw): -129 meV/atom
! * space group: I-42d (122)
! * V: 202.1 Å³/cell
! * E_tot: -2.598 eV per atom
&SYSTEM
  ibrav = 0, nat = 8, ntyp = 3
/
ATOMIC_SPECIES
Na 22.99 Na.upf
Te 127.60 Te.upf
Cu 63.55 Cu.upf
CELL_PARAMETERS angstrom
8.369 0.000 0.000
0.000 8.369 0.000
4.184 4.184 2.886
ATOMIC_POSITIONS angstrom
Na 6.066 2.092 0.721
Na 2.302 6.276 0.721
Na 6.276 6.487 2.164
Na 10.461 10.250 2.164
Te 0.000 0.000 0.000
Te 8.369 4.184 1.443
Cu 4.184 4.184 0.000
Cu 4.184 8.369 1.443

! Tl2PW PBE-GGA optimized geometry; values from VASP
! * space group: P4mm (99)
! * formation enthalpy at 0 K: 0.216 eV per atom
! * V: 89.7 Å³/cell
! * E_tot: -5.558 eV per atom
&SYSTEM
  ibrav = 0, nat = 4, ntyp = 3
/
ATOMIC_SPECIES
Tl 204.38 Tl.upf
P 30.97 P.upf
W 183.84 W.upf
CELL_PARAMETERS angstrom
-2.086 -2.231 -0.855
1.857 -2.229 1.283
-4.227 0.965 7.794
ATOMIC_POSITIONS angstrom
Tl -4.018 0.917 7.408
Tl -1.394 -1.938 2.572
P -2.991 -1.573 5.517
W -2.394 0.546 4.415

Copy entry 2 word for word.
! Tl2PW PBE-GGA optimized geometry; values from VASP
! * space group: P4mm (99)
! * formation enthalpy at 0 K: 0.216 eV per atom
! * V: 89.7 Å³/cell
! * E_tot: -5.558 eV per atom
&SYSTEM
  ibrav = 0, nat = 4, ntyp = 3
/
ATOMIC_SPECIES
Tl 204.38 Tl.upf
P 30.97 P.upf
W 183.84 W.upf
CELL_PARAMETERS angstrom
-2.086 -2.231 -0.855
1.857 -2.229 1.283
-4.227 0.965 7.794
ATOMIC_POSITIONS angstrom
Tl -4.018 0.917 7.408
Tl -1.394 -1.938 2.572
P -2.991 -1.573 5.517
W -2.394 0.546 4.415

What did the first record say?
! Na2CuTe PBE-GGA optimized geometry; values from VASP
! * ΔE_f (raw): -129 meV/atom
! * space group: I-42d (122)
! * V: 202.1 Å³/cell
! * E_tot: -2.598 eV per atom
&SYSTEM
  ibrav = 0, nat = 8, ntyp = 3
/
ATOMIC_SPECIES
Na 22.99 Na.upf
Te 127.60 Te.upf
Cu 63.55 Cu.upf
CELL_PARAMETERS angstrom
8.369 0.000 0.000
0.000 8.369 0.000
4.184 4.184 2.886
ATOMIC_POSITIONS angstrom
Na 6.066 2.092 0.721
Na 2.302 6.276 0.721
Na 6.276 6.487 2.164
Na 10.461 10.250 2.164
Te 0.000 0.000 0.000
Te 8.369 4.184 1.443
Cu 4.184 4.184 0.000
Cu 4.184 8.369 1.443

V of number 2 (Tl2PW)?
89.7 Å³/cell

V of number 1 (Na2CuTe)?
202.1 Å³/cell